Below is an optimized crystal structure of MgZnHg2, with properties calculated at the GGA-PBE level.

Calculated values
E_form   -29 meV per atom
ρ   9.38 g/cm3

```
data_MgZnHg2
_chemical_formula_sum 'Mg1 Zn1 Hg2'
_cell_length_a 8.7747
_cell_length_b 8.7747
_cell_length_c 8.7747
_cell_angle_alpha 22.52
_cell_angle_beta 22.52
_cell_angle_gamma 22.52
_symmetry_space_group_name_H-M 'P 1'
_symmetry_Int_Tables_number 1
loop_
_symmetry_equiv_pos_as_xyz
'x,y,z'
loop_
_atom_site_label
_atom_site_fract_x
_atom_site_fract_y
_atom_site_fract_z
Mg1 0.2500 0.2500 0.2500
Zn1 0.7500 0.7500 0.7500
Hg1 0.0025 0.0025 0.0025
Hg2 0.4975 0.4975 0.4975
```